1.
An optimized crystal structure of KZn2Pb. Source: Alexandria, functional GGA-PBE.

It has space group C2/m (No. 12), with a = 7.129 Å, b = 9.349 Å, c = 3.297 Å, α = 90.00°, β = 90.13° and γ = 90.00°. The inequivalent atoms are K at (0.000, 0.000, 0.000), Zn at (0.250, 0.250, 0.500) and Pb at (0.000, 0.500, 0.000).

The total energy comes out at -12.99 eV per cell. For the energy relative to the elements, the calculation gives 0.9 eV/f.u.

2.
An optimized crystal structure of Ca4TbPa3N8. Source: Alexandria, functional GGA-PBE.

It has space group R-3m (No. 166, hexagonal axes), with a = 7.0879 Å, b = 7.0879 Å, c = 17.1072 Å, α = 90.00°, β = 90.00° and γ = 120.00°. The inequivalent atoms are Ca at (0.0000, 0.0000, 0.0000), Ca at (0.0000, 0.5000, 0.0000), Tb at (0.0000, 0.0000, 0.5000), Pa at (0.0000, 0.5000, 0.5000), N at (0.0000, 0.0000, 0.2388) and N at (0.0143, 0.5072, 0.7616).

The total energy comes out at -394.13 eV per cell. Its formation energy from raw total energies is -1.478 eV/atom.

3.
An optimized crystal structure of Ru2PtW. Source: Alexandria, functional GGA-PBE.

It has space group I-4m2 (No. 119), with a = 3.880 Å, b = 3.880 Å, c = 7.836 Å, α = 90.00°, β = 90.00° and γ = 90.00°. The inequivalent atoms are Ru at (0.000, 0.000, 0.000), Ru at (0.000, 0.500, 0.250), Pt at (0.000, 0.000, 0.500) and W at (0.000, 0.500, 0.750).

The total energy comes out at -76.06 eV per cell. For the energy relative to the elements, the calculation gives -0.5 eV/f.u.

4.
An optimized crystal structure of UPaIn. Source: Alexandria, functional GGA-PBE.

It has space group I4mm (No. 107), with a = 2.973 Å, b = 2.973 Å, c = 15.572 Å, α = 90.00°, β = 90.00° and γ = 90.00°. The inequivalent atoms are U at (0.000, 0.000, 0.000), Pa at (0.000, 0.000, 0.661) and In at (0.000, 0.000, 0.333).

The total energy comes out at -46.51 eV per cell. For the energy relative to the elements, the calculation gives 0.3 eV/f.u.

5.
An optimized crystal structure of CoCuP2. Source: Alexandria, functional GGA-PBE.

It has space group P4/mmm (No. 123), with a = 3.932 Å, b = 3.932 Å, c = 3.176 Å, α = 90.00°, β = 90.00° and γ = 90.00°. The inequivalent atoms are Co at (0.000, 0.000, 0.000), Cu at (0.500, 0.500, 0.000) and P at (0.000, 0.500, 0.500).

The total energy comes out at -21.22 eV per cell. For the energy relative to the elements, the calculation gives 0.8 eV/f.u.

6.
An optimized crystal structure of La3Cu2Pd5. Source: Alexandria, functional GGA-PBE.

It has space group P4/mbm (No. 127), with a = 10.013 Å, b = 10.013 Å, c = 4.032 Å, α = 90.00°, β = 90.00° and γ = 90.00°. The inequivalent atoms are La at (0.000, 0.000, 0.000), La at (0.174, 0.326, 0.000), Cu at (0.118, 0.618, 0.000), Pd at (0.000, 0.500, 0.500) and Pd at (0.070, 0.781, 0.500).

The total energy comes out at -110.78 eV per cell. For the energy relative to the elements, the calculation gives -6.4 eV/f.u.

7.
An optimized crystal structure of CuTc2Mo. Source: Alexandria, functional GGA-PBE.

It has space group P4/mmm (No. 123), with a = 2.734 Å, b = 2.734 Å, c = 7.732 Å, α = 90.00°, β = 90.00° and γ = 90.00°. The inequivalent atoms are Cu at (0.000, 0.000, 0.000), Tc at (0.500, 0.500, 0.243) and Mo at (0.000, 0.000, 0.500).

The total energy comes out at -34.52 eV per cell. For the energy relative to the elements, the calculation gives 1.1 eV/f.u.

8.
An optimized crystal structure of SrTl4In4. Source: Alexandria, functional GGA-PBE.

It has space group I4/mmm (No. 139), with a = 10.116 Å, b = 10.116 Å, c = 5.215 Å, α = 90.00°, β = 90.00° and γ = 90.00°. The inequivalent atoms are Sr at (0.000, 0.000, 0.000), Tl at (0.174, 0.174, 0.500) and In at (0.000, 0.347, 0.000).

The total energy comes out at -46.41 eV per cell. For the energy relative to the elements, the calculation gives -1.1 eV/f.u.

9.
An optimized crystal structure of Y2MnPb. Source: Alexandria, functional GGA-PBE.

It has space group I4/mmm (No. 139), with a = 4.804 Å, b = 4.804 Å, c = 8.821 Å, α = 90.00°, β = 90.00° and γ = 90.00°. The inequivalent atoms are Y at (0.000, 0.500, 0.250), Mn at (0.000, 0.000, 0.000) and Pb at (0.000, 0.000, 0.500).

The total energy comes out at -52.28 eV per cell. For the energy relative to the elements, the calculation gives -0.3 eV/f.u.

10.
An optimized crystal structure of ReS. Source: Alexandria, functional GGA-PBE.

It has space group F222 (No. 22), with a = 3.272 Å, b = 4.856 Å, c = 7.486 Å, α = 90.00°, β = 90.00° and γ = 90.00°. The inequivalent atoms are Re at (0.000, 0.000, 0.000) and S at (0.250, 0.250, 0.250).

The total energy comes out at -64.07 eV per cell. Its formation energy from raw total energies is 0.278 eV/atom.

11.
An optimized crystal structure of As2Pb. Source: Alexandria, functional GGA-PBE.

It has space group Cmcm (No. 63), with a = 3.647 Å, b = 15.327 Å, c = 5.522 Å, α = 90.00°, β = 90.00° and γ = 90.00°. The inequivalent atoms are As at (0.000, 0.092, 0.250), As at (0.000, 0.295, 0.750) and Pb at (0.000, 0.390, 0.250).

The total energy comes out at -50.81 eV per cell. For the energy relative to the elements, the calculation gives 0.3 eV/f.u.

12.
An optimized crystal structure of CsErTl2F6. Source: Alexandria, functional GGA-PBE.

It has space group P2_1/c (No. 14), with a = 6.535 Å, b = 7.217 Å, c = 11.490 Å, α = 90.00°, β = 123.37° and γ = 90.00°. The inequivalent atoms are Cs at (0.000, 0.000, 0.000), Er at (0.500, 0.000, 0.500), Tl at (0.224, 0.032, 0.731), F at (0.183, 0.142, 0.474), F at (0.263, 0.739, 0.902) and F at (0.417, 0.095, 0.298).

The total energy comes out at -101.52 eV per cell. Its formation energy from raw total energies is -2.938 eV/atom.